! PBE Tb5Nd7Y, relaxed; values from VASP
! Crystal system: orthorhombic
! Uncorrected energy (eV/f.u.): -60.1
! SG: Imm2
&SYSTEM
  ibrav = 0, nat = 13, ntyp = 3
/
ATOMIC_SPECIES
Nd 144.24 Nd.upf
Tb 158.93 Tb.upf
Y 88.91 Y.upf
CELL_PARAMETERS angstrom
-3.046 1.830 -5.739
-6.262 -5.771 -2.486
-7.246 4.910 1.443
ATOMIC_POSITIONS angstrom
Nd -4.288 0.204 -1.629
Nd -8.141 -3.059 -4.593
Nd -9.088 0.276 -3.027
Nd -10.188 3.182 -5.486
Nd -9.850 -0.495 -6.838
Nd -8.785 3.933 -2.022
Nd -5.849 1.109 -4.481
Tb -12.619 0.675 -4.995
Tb -6.971 4.477 -4.934
Tb -5.342 3.498 -1.865
Tb -4.810 -2.280 -3.990
Tb -6.439 -1.301 -7.059
Y -13.049 -0.742 -1.250


! PBE Tb3Nd2Y7, relaxed; values from VASP
! Crystal system: monoclinic
! Uncorrected energy (eV/f.u.): -67.6
! ΔE to the lowest computed polymorph (meV/atom): 0.0
! SG: P2/m
&SYSTEM
  ibrav = 0, nat = 12, ntyp = 3
/
ATOMIC_SPECIES
Y 88.91 Y.upf
Tb 158.93 Tb.upf
Nd 144.24 Nd.upf
CELL_PARAMETERS angstrom
3.608 0.000 0.000
0.000 5.829 0.243
0.000 -1.933 18.738
ATOMIC_POSITIONS angstrom
Y 1.804 3.159 15.641
Y 1.804 3.431 8.841
Y 0.000 0.199 16.154
Y 1.804 0.736 3.340
Y 1.804 0.465 10.140
Y 0.000 0.000 0.000
Y 0.000 3.697 2.827
Tb 0.000 0.572 6.962
Tb 0.000 3.324 12.019
Tb 1.804 2.915 0.122
Nd 1.804 3.544 5.679
Nd 1.804 0.352 13.302


! PBE Tb4Nd6Y, relaxed; values from VASP
! Crystal system: tetragonal
! Uncorrected energy (eV/f.u.): -50.4
! ΔE to the lowest computed polymorph (meV/atom): 0.0
! SG: I-42m
&SYSTEM
  ibrav = 0, nat = 11, ntyp = 3
/
ATOMIC_SPECIES
Nd 144.24 Nd.upf
Tb 158.93 Tb.upf
Y 88.91 Y.upf
CELL_PARAMETERS angstrom
7.578 -3.127 -5.678
-5.281 8.193 2.104
-2.016 3.127 9.252
ATOMIC_POSITIONS angstrom
Nd 3.508 0.105 -1.528
Nd -1.264 5.041 4.150
Nd -4.047 6.279 8.482
Nd -5.213 8.087 5.930
Nd 1.148 2.533 -1.787
Nd 2.781 0.000 1.787
Tb -2.462 9.241 7.674
Tb -1.340 2.079 5.928
Tb 0.177 2.931 1.996
Tb -3.392 5.262 1.436
Y 0.000 0.000 0.000


! PBE Tb4NdY4, relaxed; values from VASP
! Crystal system: tetragonal
! Uncorrected energy (eV/f.u.): -49.0
! SG: I4/mmm
&SYSTEM
  ibrav = 0, nat = 9, ntyp = 3
/
ATOMIC_SPECIES
Y 88.91 Y.upf
Tb 158.93 Tb.upf
Nd 144.24 Nd.upf
CELL_PARAMETERS angstrom
-3.014 -3.470 2.102
-2.368 -5.085 -5.713
4.530 -6.127 2.458
ATOMIC_POSITIONS angstrom
Y 2.734 -8.982 1.247
Y -3.587 -5.699 -2.400
Y -1.364 -11.478 -2.674
Y 0.512 -3.204 1.521
Tb 0.429 -8.620 -1.462
Tb -0.793 -9.248 1.825
Tb -0.059 -5.433 -2.978
Tb -1.282 -6.061 0.309
Nd 0.000 0.000 0.000


! PBE Tb2Nd6Y5, relaxed; values from VASP
! Crystal system: orthorhombic
! Uncorrected energy (eV/f.u.): -68.9
! SG: Pbam
&SYSTEM
  ibrav = 0, nat = 26, ntyp = 3
/
ATOMIC_SPECIES
Nd 144.24 Nd.upf
Tb 158.93 Tb.upf
Y 88.91 Y.upf
CELL_PARAMETERS angstrom
-2.166 0.093 -2.939
-9.461 -0.734 6.950
-0.727 20.664 1.192
ATOMIC_POSITIONS angstrom
Nd -4.278 2.573 0.966
Nd -9.178 7.005 4.717
Nd -8.076 17.451 4.237
Nd -5.631 8.297 4.413
Nd -0.651 1.577 0.530
Nd -9.537 18.354 7.612
Nd -4.557 11.634 3.728
Nd -1.036 7.496 1.002
Nd -5.599 2.350 4.201
Nd -4.589 17.580 3.941
Nd -9.152 12.435 7.140
Nd -3.176 13.019 0.485
Tb -2.153 16.162 2.100
Tb -3.360 5.708 2.657
Tb -8.035 3.769 6.042
Tb -6.828 14.223 5.484
Y -8.090 11.049 4.044
Y -4.264 8.975 1.158
Y -2.119 4.623 -0.560
Y -5.814 -0.320 2.005
Y -8.714 0.641 4.173
Y -10.235 15.401 5.763
Y -5.467 14.723 2.228
Y -1.446 10.379 -0.874
Y -6.887 5.301 2.975
Y -3.640 19.383 1.029


! PBE Tb2NdY4, relaxed; values from VASP
! Crystal system: monoclinic
! Uncorrected energy (eV/f.u.): -39.0
! ΔE to the lowest computed polymorph (meV/atom): 93.9
! SG: P2_1/m
&SYSTEM
  ibrav = 0, nat = 14, ntyp = 3
/
ATOMIC_SPECIES
Y 88.91 Y.upf
Nd 144.24 Nd.upf
Tb 158.93 Tb.upf
CELL_PARAMETERS angstrom
6.064 0.000 -0.382
0.000 6.654 0.000
-2.526 0.000 11.505
ATOMIC_POSITIONS angstrom
Y 3.718 1.663 6.358
Y 3.096 3.274 3.099
Y 3.096 0.052 3.099
Y 0.442 6.601 8.025
Y -0.269 1.663 1.884
Y 3.808 4.990 9.239
Y 0.442 3.379 8.025
Y -0.179 4.990 4.765
Nd 2.813 1.663 9.651
Nd 0.725 4.990 1.473
Tb 3.679 4.990 -0.096
Tb -0.140 1.663 11.219
Tb 2.939 4.990 6.063
Tb 0.599 1.663 5.060


! PBE Tb7NdY5, relaxed; values from VASP
! Crystal system: orthorhombic
! Uncorrected energy (eV/f.u.): -66.1
! SG: Imm2
&SYSTEM
  ibrav = 0, nat = 13, ntyp = 3
/
ATOMIC_SPECIES
Y 88.91 Y.upf
Tb 158.93 Tb.upf
Nd 144.24 Nd.upf
CELL_PARAMETERS angstrom
6.330 0.000 2.320
3.028 8.056 1.534
0.390 -0.108 8.732
ATOMIC_POSITIONS angstrom
Y 0.208 -0.018 4.023
Y 4.773 3.700 1.977
Y 3.571 -0.018 5.256
Y 7.378 5.778 9.256
Y 1.410 3.700 0.745
Tb 5.803 6.507 3.757
Tb 2.483 1.860 3.020
Tb 5.084 3.400 5.719
Tb 1.308 2.410 6.228
Tb 4.199 5.817 8.136
Tb 4.062 1.120 8.508
Tb 2.221 5.236 3.736
Nd 6.239 0.248 2.567


! PBE Tb2NdY9, relaxed; values from VASP
! Crystal system: tetragonal
! Uncorrected energy (eV/f.u.): -71.9
! SG: P4/mmm
&SYSTEM
  ibrav = 0, nat = 12, ntyp = 3
/
ATOMIC_SPECIES
Tb 158.93 Tb.upf
Y 88.91 Y.upf
Nd 144.24 Nd.upf
CELL_PARAMETERS angstrom
-2.274 3.850 -2.371
-0.973 -3.009 -3.952
-13.251 -3.960 6.278
ATOMIC_POSITIONS angstrom
Tb -8.825 -2.637 4.181
Tb -4.426 -1.323 2.097
Y -2.718 -2.171 -0.919
Y -10.443 -2.215 1.017
Y -7.112 -3.484 1.163
Y -3.369 1.258 -0.128
Y -7.762 -0.055 1.953
Y -1.624 0.421 -3.162
Y -12.156 -1.368 4.035
Y -11.505 -4.797 3.244
Y -6.055 -0.904 -1.062
Nd 0.000 0.000 0.000


! PBE Tb6NdY2, relaxed; values from VASP
! Crystal system: trigonal
! Uncorrected energy (eV/f.u.): -43.5
! ΔE to the lowest computed polymorph (meV/atom): 22.5
! SG: P-3m1
&SYSTEM
  ibrav = 0, nat = 9, ntyp = 3
/
ATOMIC_SPECIES
Y 88.91 Y.upf
Tb 158.93 Tb.upf
Nd 144.24 Nd.upf
CELL_PARAMETERS angstrom
6.147 -0.027 -0.016
0.035 7.428 0.007
0.035 3.707 6.437
ATOMIC_POSITIONS angstrom
Y 4.911 7.400 4.283
Y 1.307 3.708 2.146
Tb 1.871 7.418 2.411
Tb 1.871 5.787 5.231
Tb 1.887 9.043 5.233
Tb 4.346 3.690 4.017
Tb 4.330 2.065 1.195
Tb 4.346 5.321 1.198
Nd 0.000 0.000 0.000


no.,magnetization (μB per atom)
1,0.00
2,0.00
3,0.00
4,0.00
5,0.00
6,0.00
7,0.00
8,0.00
9,0.00